[1]
The following is a GGA-PBE calculation of crystalline SrHg5Rh at its relaxed geometry, from Alexandria via LeMat-Bulk.

Cell and atoms, written as POSCAR:
```
SrHg5Rh
1.0
-3.582 0.612 3.190
-3.005 -2.428 -2.908
1.961 -6.573 3.462
Hg Sr Rh
5 1 1
direct
0.500 0.000 0.305 Hg
0.000 0.500 0.695 Hg
0.000 0.500 0.305 Hg
0.500 0.500 0.000 Hg
0.500 0.000 0.695 Hg
0.000 0.000 0.000 Sr
0.000 0.000 0.500 Rh
```

SG	P4/mmm, No. 123
Fermi-level density of states	4.54	states/eV per cell
E	-11.8	eV per cell

=====

[2]
The following is a GGA-PBE calculation of crystalline NdGa2SiRh at its relaxed geometry, from Alexandria via LeMat-Bulk.

Cell and atoms, written as POSCAR:
```
NdGa2SiRh
1.0
-3.824 -1.183 -0.854
1.402 -3.613 -1.274
0.696 0.417 6.117
Ga Rh Si Nd
2 1 1 1
direct
0.691 0.191 0.382 Ga
0.054 0.054 0.107 Ga
0.203 0.703 0.405 Rh
0.826 0.826 0.653 Si
0.439 0.439 0.878 Nd
```

SG	Imm2, No. 44
Fermi-level density of states	2.43	states/eV per cell
E	-27.1	eV per cell
raw formation energy	-0.704	eV/atom

=====

[3]
The following is a GGA-PBE calculation of crystalline KUBi2S5 at its relaxed geometry, from Alexandria via LeMat-Bulk.

Cell and atoms, written as POSCAR:
```
KUBi2S5
1.0
-3.926 3.330 0.812
-2.964 -1.892 -6.568
-0.079 -5.603 5.875
S Bi U K
5 2 1 1
direct
0.641 0.391 0.282 S
0.359 0.109 0.718 S
0.641 0.891 0.282 S
0.359 0.609 0.718 S
0.000 0.000 0.000 S
0.221 0.221 0.442 Bi
0.779 0.779 0.558 Bi
0.500 0.000 0.000 U
0.000 0.500 0.000 K
```

SG	Immm, No. 71
Fermi-level density of states	6.37	states/eV per cell
E	-47.0	eV per cell
raw formation energy	-0.685	eV/atom

=====

[4]
The following is a GGA-PBE calculation of crystalline TiAl2Pt2 at its relaxed geometry, from Alexandria via LeMat-Bulk.

Cell and atoms, written as POSCAR:
```
TiAl2Pt2
1.0
3.724 0.000 0.000
0.000 3.724 0.000
1.862 1.862 6.009
Ti Pt Al
1 2 2
direct
0.000 0.000 0.000 Ti
0.609 0.609 0.782 Pt
0.391 0.391 0.218 Pt
0.750 0.250 0.500 Al
0.250 0.750 0.500 Al
```

SG	I4/mmm, No. 139
Fermi-level density of states	3.95	states/eV per cell
E	-31.1	eV per cell
offset from the most stable computed form	184	meV/atom

=====

Which of these has the lowest E? KUBi2S5

=====

Number 3 is which compound? KUBi2S5

=====

Look up the E of the third one. -47.0 eV per cell

=====

Fermi-level density of states of number 3 (KUBi2S5)? 6.37 states/eV per cell